Entry 1:
CuAg, relaxed, DFT PBE; calculated density = 9.60 Mg/m³
1.0
-1.654 2.059 -0.960
-1.190 -1.796 -1.804
-5.171 -1.754 5.157
Ag Cu
2 2
Cartesian
-2.499 -0.843 2.435
-2.415 -0.196 -0.455
-4.863 -1.640 4.787
-5.223 -1.150 2.349

Entry 2:
Cu3Ag2, relaxed, DFT PBE; excess energy over the best structure of this formula in the dataset = 0.051 eV/atom; calculated density = 9.44 Mg/m³
1.0
-4.755 4.505 0.918
-1.264 -1.695 1.771
5.565 1.722 5.621
Cu Ag
6 4
Cartesian
2.782 0.861 2.810
3.479 0.954 5.545
1.289 5.195 5.893
-3.934 3.578 2.765
-3.010 1.405 1.345
-0.480 1.033 0.646
2.142 2.953 4.356
0.151 1.115 3.323
-1.332 3.274 2.183
-0.606 3.417 4.987

Entry 3:
CuAg, relaxed, DFT PBE; calculated density = 9.54 Mg/m³
1.0
1.824 4.941 4.989
-3.731 -0.679 -6.185
-3.053 -2.510 2.781
Cu Ag
5 5
Cartesian
0.154 3.251 1.629
-2.060 1.011 -2.825
-1.948 1.414 1.862
-3.012 0.338 -0.278
-1.527 -1.255 1.390
-4.142 -0.805 -2.550
1.248 4.358 3.830
-3.155 -0.096 -5.026
-0.953 2.131 -0.598
-0.818 2.557 4.135

Entry 4:
Cu7Ag2, relaxed, DFT PBE; excess energy over the best structure of this formula in the dataset = 0.022 eV/atom; calculated density = 9.24 Mg/m³
1.0
-3.307 -1.557 -4.398
-4.686 -2.388 -2.246
-2.280 7.723 1.519
Ag Cu
2 7
Cartesian
-9.491 1.241 -5.604
-0.781 2.537 0.479
0.000 0.000 0.000
-2.879 -0.525 -2.048
-6.724 1.690 -3.657
-4.414 4.812 -0.972
-5.858 -1.034 -4.153
-7.393 4.303 -3.077
-3.548 2.088 -1.468

Entry 5:
CuAg, relaxed, DFT PBE; calculated density = 9.52 Mg/m³
1.0
4.399 -1.941 0.000
4.399 1.941 0.000
-3.391 0.000 7.001
Ag Cu
4 4
Cartesian
0.990 0.000 2.523
1.833 0.000 5.300
4.446 0.000 4.315
-0.811 0.000 6.265
7.140 0.000 3.348
8.723 0.000 0.106
6.207 0.000 0.927
3.593 0.000 1.719

Entry 6:
CuAg, relaxed, DFT PBE; calculated density = 9.56 Mg/m³
1.0
-1.815 -1.153 1.865
0.145 -2.478 -1.395
5.656 -2.044 4.225
Cu Ag
2 2
Cartesian
0.652 -2.546 1.333
2.629 -1.149 1.953
0.067 -0.211 0.026
3.211 -3.483 3.249

Entry 7:
Cu3Ag2, relaxed, DFT PBE; excess energy over the best structure of this formula in the dataset = 0.059 eV/atom; calculated density = 9.39 Mg/m³
1.0
-1.836 3.005 3.116
0.204 -1.937 1.989
10.536 2.833 1.681
Cu Ag
6 4
Cartesian
6.114 2.369 1.682
8.526 5.750 4.729
8.318 1.550 2.607
5.288 2.891 4.224
1.339 1.772 1.589
7.250 4.056 3.209
3.842 1.112 2.639
0.426 2.299 4.145
9.653 3.289 4.165
2.869 3.594 3.208

Entry 8:
Cu3Ag2, relaxed, DFT PBE; excess energy over the best structure of this formula in the dataset = 0.053 eV/atom; calculated density = 9.42 Mg/m³
1.0
-0.348 0.342 5.660
-2.055 -1.788 4.985
7.345 -5.754 -0.414
Ag Cu
4 6
Cartesian
5.786 -5.476 2.653
2.471 -3.600 5.115
-0.843 -1.724 7.578
0.000 0.000 0.000
0.620 -1.872 4.341
1.069 -3.485 8.299
2.927 -5.264 9.215
3.873 -3.715 1.932
2.015 -1.936 1.015
4.322 -5.328 5.890

Number 1: DFT formation energy 65 meV per atom. Number 2: DFT formation energy 93 meV per atom. Number 3: DFT formation energy 105 meV per atom. Number 4: DFT formation energy 69 meV per atom. Number 5: DFT formation energy 94 meV per atom. Number 6: DFT formation energy 63 meV per atom. Number 7: DFT formation energy 101 meV per atom. Number 8: DFT formation energy 95 meV per atom.